Er3TlZn | GGA-PBE | optimized geometry

Symmetry: No. 221
Excess energy over the best structure of this formula in the dataset: 51 meV/atom
N(E_F): 16.64 states/eV per cell

Lattice parameters (Å, degrees): 7.3011 7.3011 7.3011 90.00 90.00 90.00
With the nearest neighbours (Å) after each atom.
Element x y z (fractional)
Tl 0.5000 0.5000 0.0000  8 Er 3.23
Er 0.7661 0.2339 0.2339  3 Zn 3.10, 3 Tl 3.23, 4 Er 3.36-3.42
Tl 0.0000 0.5000 0.5000  8 Er 3.23
Zn 0.5000 0.0000 0.0000  8 Er 3.10
Er 0.2339 0.7661 0.2339  3 Zn 3.10, 3 Tl 3.23, 4 Er 3.36-3.42
Tl 0.5000 0.0000 0.5000  8 Er 3.23
Er 0.2339 0.7661 0.7661  3 Zn 3.10, 3 Tl 3.23, 4 Er 3.36-3.42
Er 0.7661 0.7661 0.7661  3 Zn 3.10, 3 Tl 3.23, 4 Er 3.36-3.42
Zn 0.0000 0.0000 0.5000  8 Er 3.10
Er 0.2339 0.2339 0.2339  3 Zn 3.10, 3 Tl 3.23, 4 Er 3.36-3.42
Er 0.7661 0.7661 0.2339  3 Zn 3.10, 3 Tl 3.23, 4 Er 3.36-3.42
Er 0.5000 0.5000 0.5000  8 Er 3.36, 6 Tl 3.65
Er 0.7661 0.2339 0.7661  3 Zn 3.10, 3 Tl 3.23, 4 Er 3.36-3.42
Er 0.2339 0.2339 0.7661  3 Zn 3.10, 3 Tl 3.23, 4 Er 3.36-3.42
Zn 0.0000 0.5000 0.0000  8 Er 3.10



Er12Tl6Zn | GGA-PBE | optimized geometry

Symmetry: No. 148
N(E_F): 13.74 states/eV per cell

Lattice parameters (Å, degrees): 8.7068 8.7068 8.7068 99.80 99.80 99.80
With the nearest neighbours (Å) after each atom.
Element x y z (fractional)
Tl 0.6977 0.8659 0.3833  7 Er 3.01-3.32
Er 0.0480 0.6851 0.9370  1 Zn 2.82, 2 Tl 3.06-3.07
Er 0.9370 0.0480 0.6851  1 Zn 2.82, 2 Tl 3.06-3.07
Er 0.5705 0.1813 0.4310  4 Tl 3.01-3.18
Er 0.9520 0.3149 0.0630  1 Zn 2.82, 2 Tl 3.06-3.07
Er 0.3149 0.0630 0.9520  1 Zn 2.82, 2 Tl 3.06-3.07
Tl 0.6167 0.3023 0.1341  7 Er 3.01-3.32
Tl 0.1341 0.6167 0.3023  7 Er 3.01-3.32
Er 0.8187 0.5690 0.4295  4 Tl 3.01-3.18
Er 0.1813 0.4310 0.5705  4 Tl 3.01-3.18
Er 0.5690 0.4295 0.8187  4 Tl 3.01-3.18
Tl 0.3833 0.6977 0.8659  7 Er 3.01-3.32
Er 0.6851 0.9370 0.0480  1 Zn 2.82, 2 Tl 3.06-3.07
Tl 0.3023 0.1341 0.6167  7 Er 3.01-3.32
Er 0.4310 0.5705 0.1813  4 Tl 3.01-3.18
Er 0.4295 0.8187 0.5690  4 Tl 3.01-3.18
Er 0.0630 0.9520 0.3149  1 Zn 2.82, 2 Tl 3.06-3.07
Zn 0.0000 0.0000 0.0000  6 Er 2.82
Tl 0.8659 0.3833 0.6977  7 Er 3.01-3.32



Er5Tl2Zn | GGA-PBE | optimized geometry

Symmetry: No. 63
N(E_F): 13.72 states/eV per cell

Lattice parameters (Å, degrees): 5.5905 6.9692 12.7641 90.00 90.00 113.65
With the nearest neighbours (Å) after each atom.
Element x y z (fractional)
Er 0.3838 0.7676 0.0507  1 Zn 3.12, 3 Tl 3.13-3.19, 1 Er 3.24
Er 0.4052 0.8104 0.7500  2 Tl 3.09, 4 Er 3.36, 2 Zn 3.37
Er 0.5948 0.1896 0.2500  2 Tl 3.09, 4 Er 3.36, 2 Zn 3.37
Tl 0.7988 0.5977 0.3800  5 Er 3.09-3.28, 1 Tl 3.32, 2 Zn 3.33
Er 0.9442 0.8885 0.8905  1 Zn 2.98, 1 Er 3.14, 1 Tl 3.28
Tl 0.2012 0.4023 0.8800  5 Er 3.09-3.28, 1 Tl 3.32, 2 Zn 3.33
Er 0.9442 0.8885 0.6095  1 Zn 2.98, 1 Er 3.14, 1 Tl 3.28
Er 0.6162 0.2324 0.9493  1 Zn 3.12, 3 Tl 3.13-3.19, 1 Er 3.24
Tl 0.2012 0.4023 0.6200  5 Er 3.09-3.28, 1 Tl 3.32, 2 Zn 3.33
Er 0.3838 0.7676 0.4493  1 Zn 3.12, 3 Tl 3.13-3.19, 1 Er 3.24
Er 0.0558 0.1115 0.3905  1 Zn 2.98, 1 Er 3.14, 1 Tl 3.28
Er 0.0558 0.1115 0.1095  1 Zn 2.98, 1 Er 3.14, 1 Tl 3.28
Zn 0.7576 0.5152 0.7500  4 Er 2.98-3.12, 4 Tl 3.33
Tl 0.7988 0.5977 0.1200  5 Er 3.09-3.28, 1 Tl 3.32, 2 Zn 3.33
Zn 0.2424 0.4848 0.2500  4 Er 2.98-3.12, 4 Tl 3.33
Er 0.6162 0.2324 0.5507  1 Zn 3.12, 3 Tl 3.13-3.19, 1 Er 3.24



Er6TlZn2 | GGA-PBE | optimized geometry

Symmetry: No. 139
Excess energy over the best structure of this formula in the dataset: 233 meV/atom
N(E_F): 9.87 states/eV per cell

Lattice parameters (Å, degrees): 4.9520 4.9520 11.2701 102.69 102.69 90.00
With the nearest neighbours (Å) after each atom.
Element x y z (fractional)
Zn 0.3321 0.3321 0.6643  8 Er 2.98-3.04
Er 0.7500 0.2500 0.5000  4 Zn 3.04
Er 0.5900 0.0900 0.1801  2 Zn 2.98, 2 Tl 3.14
Er 0.9100 0.4100 0.8199  2 Zn 2.98, 2 Tl 3.14
Er 0.4100 0.9100 0.8199  2 Zn 2.98, 2 Tl 3.14
Er 0.0900 0.5900 0.1801  2 Zn 2.98, 2 Tl 3.14
Zn 0.6679 0.6679 0.3357  8 Er 2.98-3.04
Er 0.2500 0.7500 0.5000  4 Zn 3.04
Tl 0.0000 0.0000 0.0000  8 Er 3.14



Er3TlZn | GGA-PBE | optimized geometry

Symmetry: No. 63
Excess energy over the best structure of this formula in the dataset: 0 meV/atom
N(E_F): 11.64 states/eV per cell

Lattice parameters (Å, degrees): 5.0666 5.0700 10.4839 90.00 76.02 90.00
With the nearest neighbours (Å) after each atom.
Element x y z (fractional)
Er 0.8864 0.7500 0.8754  2 Zn 3.15, 2 Tl 3.19
Zn 0.4785 0.7500 0.6913  8 Er 3.15-3.20
Er 0.5738 0.2500 0.5008  4 Tl 3.15-3.16, 4 Zn 3.19-3.20
Er 0.2635 0.7500 0.1213  2 Zn 3.17, 2 Tl 3.21, 2 Er 3.54
Er 0.3848 0.2500 0.8787  2 Zn 3.17, 2 Tl 3.21, 2 Er 3.54
Zn 0.1698 0.2500 0.3087  8 Er 3.15-3.20
Tl 0.6664 0.7500 0.3156  8 Er 3.15-3.21
Er 0.0746 0.7500 0.4992  4 Tl 3.15-3.16, 4 Zn 3.19-3.20
Tl 0.9820 0.2500 0.6844  8 Er 3.15-3.21
Er 0.7619 0.2500 0.1246  2 Zn 3.15, 2 Tl 3.19



Er2TlZn5 | GGA-PBE | optimized geometry

Symmetry: No. 63
N(E_F): 10.08 states/eV per cell

Lattice parameters (Å, degrees): 4.2913 8.3943 9.0982 90.00 90.00 104.81
With the nearest neighbours (Å) after each atom.
Element x y z (fractional)
Zn 0.6547 0.3095 0.4810  4 Zn 2.50-2.67, 1 Tl 2.70
Er 0.0000 0.0000 0.0000  6 Zn 3.22-3.31, 4 Tl 3.23
Zn 0.1886 0.3772 0.8907  6 Zn 2.50-2.78
Zn 0.6547 0.3095 0.0190  4 Zn 2.50-2.67, 1 Tl 2.70
Er 0.0000 0.0000 0.5000  6 Zn 3.22-3.31, 4 Tl 3.23
Zn 0.6130 0.2260 0.7500  6 Zn 2.54-2.78, 1 Tl 2.64
Tl 0.5498 0.0997 0.2500  3 Zn 2.64-2.70
Zn 0.3870 0.7740 0.2500  6 Zn 2.54-2.78, 1 Tl 2.64
Zn 0.8114 0.6228 0.1093  6 Zn 2.50-2.78
Zn 0.8114 0.6228 0.3907  6 Zn 2.50-2.78
Zn 0.3453 0.6905 0.9810  4 Zn 2.50-2.67, 1 Tl 2.70
Zn 0.1886 0.3772 0.6093  6 Zn 2.50-2.78
Zn 0.3453 0.6905 0.5190  4 Zn 2.50-2.67, 1 Tl 2.70
Er 0.2011 0.4022 0.2500  11 Zn 3.02-3.28, 2 Tl 3.26
Er 0.7989 0.5978 0.7500  11 Zn 3.02-3.28, 2 Tl 3.26
Tl 0.4502 0.9003 0.7500  3 Zn 2.64-2.70



ErTlZn | GGA-PBE | optimized geometry

Symmetry: No. 107
N(E_F): 1.69 states/eV per cell

Lattice parameters (Å, degrees): 3.5066 3.5066 6.2469 106.30 106.30 90.00
With the nearest neighbours (Å) after each atom.
Element x y z (fractional)
Tl 0.0143 0.0143 0.0286  4 Zn 3.03, 4 Er 3.33
Er 0.3202 0.3202 0.6404  4 Zn 3.05, 4 Tl 3.33
Zn 0.6655 0.6655 0.3310  4 Tl 3.03, 4 Er 3.05



ErTlZn | GGA-PBE | optimized geometry

Symmetry: No. 44
N(E_F): 2.49 states/eV per cell

Lattice parameters (Å, degrees): 4.6913 5.9361 5.9361 87.31 66.72 66.72
With the nearest neighbours (Å) after each atom.
Element x y z (fractional)
Zn 0.8062 0.1715 0.2160  3 Tl 2.75-2.78, 1 Zn 2.79, 3 Er 3.04-3.05
Er 0.0000 0.6488 0.3512  2 Zn 3.04, 6 Tl 3.21-3.33
Tl 0.2325 0.0824 0.4525  3 Zn 2.75-2.78
Er 0.5000 0.1453 0.8547  4 Zn 3.05, 6 Tl 3.20-3.32
Zn 0.1938 0.7840 0.8285  3 Tl 2.75-2.78, 1 Zn 2.79, 3 Er 3.04-3.05
Tl 0.7675 0.5475 0.9176  3 Zn 2.75-2.78



ErTlZn2 | GGA-PBE | optimized geometry

Symmetry: No. 123
Excess energy over the best structure of this formula in the dataset: 98 meV/atom
N(E_F): 2.88 states/eV per cell

Lattice parameters (Å, degrees): 3.6783 3.6783 6.6326 90.00 90.00 90.00
With the nearest neighbours (Å) after each atom.
Element x y z (fractional)
Tl 0.5000 0.5000 0.5000  8 Zn 3.13, 2 Er 3.32
Zn 0.0000 0.0000 0.7618  4 Er 3.04, 4 Tl 3.13, 1 Zn 3.16
Zn 0.0000 0.0000 0.2382  4 Er 3.04, 4 Tl 3.13, 1 Zn 3.16
Er 0.5000 0.5000 0.0000  8 Zn 3.04, 2 Tl 3.32



Er11Tl9Zn4 | GGA-PBE | optimized geometry

Symmetry: No. 65
N(E_F): 18.19 states/eV per cell

Lattice parameters (Å, degrees): 3.7570 13.1895 13.1895 112.84 90.00 90.00
With the nearest neighbours (Å) after each atom.
Element x y z (fractional)
Er 0.0000 0.5853 0.9254  2 Zn 2.93, 4 Tl 3.20-3.22
Tl 0.5000 0.9373 0.7858  1 Zn 3.17, 8 Er 3.20-3.42, 1 Tl 3.33
Tl 0.5000 0.7858 0.9373  1 Zn 3.17, 8 Er 3.20-3.42, 1 Tl 3.33
Tl 0.5000 0.0627 0.2142  1 Zn 3.17, 8 Er 3.20-3.42, 1 Tl 3.33
Er 0.0000 0.3664 0.6336  4 Zn 2.96
Er 0.0000 0.4147 0.0746  2 Zn 2.93, 4 Tl 3.20-3.22
Er 0.0000 0.1635 0.8365  8 Tl 3.26-3.37, 3 Er 3.57-3.59
Tl 0.5000 0.8523 0.3707  1 Zn 3.19, 8 Er 3.22-3.42, 1 Tl 3.25
Tl 0.5000 0.6293 0.1477  1 Zn 3.19, 8 Er 3.22-3.42, 1 Tl 3.25
Er 0.0000 0.2978 0.2978  4 Zn 2.96
Er 0.0000 0.9254 0.5853  2 Zn 2.93, 4 Tl 3.20-3.22
Tl 0.5000 0.2142 0.0627  1 Zn 3.17, 8 Er 3.20-3.42, 1 Tl 3.33
Zn 0.5000 0.2559 0.4509  6 Er 2.93-2.96, 3 Tl 3.03-3.19
Tl 0.5000 0.3707 0.8523  1 Zn 3.19, 8 Er 3.22-3.42, 1 Tl 3.25
Er 0.0000 0.6336 0.3664  4 Zn 2.96
Er 0.0000 0.8365 0.1635  8 Tl 3.26-3.37, 3 Er 3.57-3.59
Er 0.0000 0.0746 0.4147  2 Zn 2.93, 4 Tl 3.20-3.22
Er 0.0000 0.0000 0.0000  8 Tl 3.22, 2 Er 3.59
Tl 0.5000 0.5000 0.5000  4 Zn 3.03
Er 0.0000 0.7022 0.7022  4 Zn 2.96
Zn 0.5000 0.7441 0.5491  6 Er 2.93-2.96, 3 Tl 3.03-3.19
Zn 0.5000 0.5491 0.7441  6 Er 2.93-2.96, 3 Tl 3.03-3.19
Zn 0.5000 0.4509 0.2559  6 Er 2.93-2.96, 3 Tl 3.03-3.19
Tl 0.5000 0.1477 0.6293  1 Zn 3.19, 8 Er 3.22-3.42, 1 Tl 3.25



Er4TlZn3 | GGA-PBE | optimized geometry

Symmetry: No. 166
Excess energy over the best structure of this formula in the dataset: 0 meV/atom
N(E_F): 7.48 states/eV per cell

Lattice parameters (Å, degrees): 5.0736 5.0737 8.8681 73.38 73.38 60.00
With the nearest neighbours (Å) after each atom.
Element x y z (fractional)
Zn 0.5000 0.5000 0.5000  8 Er 3.02-3.08
Er 0.3798 0.3798 0.8606  5 Zn 3.02-3.32, 3 Tl 3.15
Zn 0.2476 0.2476 0.2571  8 Er 2.97-3.32
Er 0.1292 0.1292 0.6124  7 Zn 2.97-3.13, 1 Tl 3.24
Er 0.6202 0.6202 0.1394  5 Zn 3.02-3.32, 3 Tl 3.15
Zn 0.7524 0.7524 0.7429  8 Er 2.97-3.32
Er 0.8708 0.8708 0.3876  7 Zn 2.97-3.13, 1 Tl 3.24
Tl 0.0000 0.0000 0.0000  8 Er 3.15-3.24



Er7Tl4Zn | GGA-PBE | optimized geometry

Symmetry: No. 12
N(E_F): 13.55 states/eV per cell

Lattice parameters (Å, degrees): 5.4335 9.1875 7.9474 80.65 70.01 72.80
With the nearest neighbours (Å) after each atom.
Element x y z (fractional)
Er 0.2134 0.1349 0.4384  4 Tl 3.09-3.19
Er 0.6503 0.4186 0.2807  5 Tl 3.08-3.34
Tl 0.7128 0.6597 0.9147  8 Er 3.09-3.34
Er 0.7866 0.8651 0.5616  4 Tl 3.09-3.19
Tl 0.5739 0.2177 0.6346  8 Er 3.08-3.30
Tl 0.4261 0.7823 0.3654  8 Er 3.08-3.30
Er 0.5000 0.0000 0.0000  2 Zn 2.72
Er 0.3497 0.5814 0.7193  5 Tl 3.08-3.34
Tl 0.2872 0.3403 0.0853  8 Er 3.09-3.34
Zn 0.0000 0.0000 0.0000  4 Er 2.72-2.91
Er 0.9246 0.3114 0.8395  1 Zn 2.91, 3 Tl 3.15-3.25
Er 0.0754 0.6886 0.1605  1 Zn 2.91, 3 Tl 3.15-3.25



ErTlZn2 | GGA-PBE | optimized geometry

Symmetry: No. 123
Excess energy over the best structure of this formula in the dataset: 0 meV/atom
N(E_F): 2.70 states/eV per cell

Lattice parameters (Å, degrees): 4.1185 4.5426 4.5426 90.00 90.00 90.00
With the nearest neighbours (Å) after each atom.
Element x y z (fractional)
Zn 0.0000 0.0000 0.5000  4 Er 3.07, 4 Tl 3.07, 4 Zn 3.21
Tl 0.5000 0.0000 0.0000  8 Zn 3.07, 4 Er 3.21
Er 0.5000 0.5000 0.5000  8 Zn 3.07, 4 Tl 3.21
Zn 0.0000 0.5000 0.0000  4 Er 3.07, 4 Tl 3.07, 4 Zn 3.21



Er5Tl4Zn | GGA-PBE | optimized geometry

Symmetry: No. 123
N(E_F): 5.78 states/eV per cell

Lattice parameters (Å, degrees): 3.6097 3.6097 19.8229 90.00 90.00 90.00
With the nearest neighbours (Å) after each atom.
Element x y z (fractional)
Er 0.5000 0.5000 0.0852  4 Zn 3.06, 4 Tl 3.27, 1 Er 3.38
Tl 0.0000 0.0000 0.6044  8 Er 3.28-3.29, 4 Tl 3.61
Er 0.5000 0.5000 0.2917  8 Tl 3.28, 4 Er 3.61
Tl 0.0000 0.0000 0.1881  8 Er 3.27-3.28, 4 Tl 3.61
Zn 0.0000 0.0000 0.0000  8 Er 3.06
Tl 0.0000 0.0000 0.3956  8 Er 3.28-3.29, 4 Tl 3.61
Er 0.5000 0.5000 0.5000  8 Tl 3.29, 4 Er 3.61
Er 0.5000 0.5000 0.9148  4 Zn 3.06, 4 Tl 3.27, 1 Er 3.38
Er 0.5000 0.5000 0.7083  8 Tl 3.28, 4 Er 3.61
Tl 0.0000 0.0000 0.8119  8 Er 3.27-3.28, 4 Tl 3.61



ErZrTl2 | GGA-PBE | optimized geometry

Symmetry: No. 123
N(E_F): 3.16 states/eV per cell

Lattice parameters (Å, degrees): 3.8087 3.8087 6.8395 90.00 90.00 90.00
With the nearest neighbours (Å) after each atom.
Element x y z (fractional)
Zr 0.5000 0.5000 0.0000  8 Tl 3.16, 2 Er 3.42
Tl 0.0000 0.0000 0.2406  4 Zr 3.16, 4 Er 3.22, 1 Tl 3.29
Er 0.5000 0.5000 0.5000  8 Tl 3.22, 2 Zr 3.42
Tl 0.0000 0.0000 0.7594  4 Zr 3.16, 4 Er 3.22, 1 Tl 3.29



Er5ZrTl6 | GGA-PBE | optimized geometry

Symmetry: No. 12
N(E_F): 6.36 states/eV per cell

Lattice parameters (Å, degrees): 5.3088 9.1622 9.1622 120.36 106.89 106.89
With the nearest neighbours (Å) after each atom.
Element x y z (fractional)
Er 0.0000 0.6678 0.3322  8 Tl 3.23-3.26
Tl 0.7515 0.5862 0.9166  1 Zr 3.21, 7 Er 3.22-3.29
Er 0.0000 0.3322 0.6678  8 Tl 3.23-3.26
Tl 0.2530 0.7529 0.7529  6 Er 3.18-3.26, 2 Zr 3.22-3.23
Tl 0.2485 0.0834 0.4138  1 Zr 3.21, 7 Er 3.22-3.29
Er 0.5000 0.1639 0.8361  8 Tl 3.18-3.29
Tl 0.2485 0.4138 0.0834  1 Zr 3.21, 7 Er 3.22-3.29
Tl 0.7470 0.2471 0.2471  6 Er 3.18-3.26, 2 Zr 3.22-3.23
Er 0.5000 0.5000 0.5000  8 Tl 3.22-3.25
Tl 0.7515 0.9166 0.5862  1 Zr 3.21, 7 Er 3.22-3.29
Er 0.5000 0.8361 0.1639  8 Tl 3.18-3.29
Zr 0.0000 0.0000 0.0000  8 Tl 3.21-3.23



ErZr4Tl5 | GGA-PBE | optimized geometry

Symmetry: No. 123
N(E_F): 8.98 states/eV per cell

Lattice parameters (Å, degrees): 3.2550 3.2550 22.1670 90.00 90.00 90.00
With the nearest neighbours (Å) after each atom.
Element x y z (fractional)
Zr 0.0000 0.0000 0.5985  8 Tl 3.17, 4 Zr 3.26
Tl 0.5000 0.5000 0.6966  8 Zr 3.16-3.17, 4 Tl 3.26
Tl 0.5000 0.5000 0.5000  8 Zr 3.17, 4 Tl 3.26
Zr 0.0000 0.0000 0.4015  8 Tl 3.17, 4 Zr 3.26
Er 0.0000 0.0000 0.0000  4 Er 3.26, 8 Tl 3.28
Tl 0.5000 0.5000 0.8945  4 Zr 3.20, 4 Tl 3.26, 4 Er 3.28
Tl 0.5000 0.5000 0.1055  4 Zr 3.20, 4 Tl 3.26, 4 Er 3.28
Tl 0.5000 0.5000 0.3034  8 Zr 3.16-3.17, 4 Tl 3.26
Zr 0.0000 0.0000 0.2055  8 Tl 3.16-3.20, 4 Zr 3.26
Zr 0.0000 0.0000 0.7945  8 Tl 3.16-3.20, 4 Zr 3.26



ErZrTl3 | GGA-PBE | optimized geometry

Symmetry: No. 63
N(E_F): 10.32 states/eV per cell

Lattice parameters (Å, degrees): 5.9641 7.3615 7.3615 119.94 90.00 90.00
With the nearest neighbours (Å) after each atom.
Element x y z (fractional)
Tl 0.7500 0.6047 0.8021  2 Zr 2.93, 2 Tl 3.00
Tl 0.2500 0.8021 0.6047  2 Zr 2.93, 2 Tl 3.00
Er 0.2500 0.3335 0.6665  12 Tl 3.45-3.71
Zr 0.5000 0.0000 0.0000  6 Tl 2.93, 2 Zr 2.98
Tl 0.7500 0.1978 0.8022  2 Zr 2.93, 2 Tl 3.00
Zr 0.0000 0.0000 0.0000  6 Tl 2.93, 2 Zr 2.98
Tl 0.2500 0.3953 0.1979  2 Zr 2.93, 2 Tl 3.00
Er 0.7500 0.6665 0.3335  12 Tl 3.45-3.71
Tl 0.2500 0.8022 0.1978  2 Zr 2.93, 2 Tl 3.00
Tl 0.7500 0.1979 0.3953  2 Zr 2.93, 2 Tl 3.00



Er4ZrTl | GGA-PBE | optimized geometry

Symmetry: No. 123
N(E_F): 8.32 states/eV per cell

Lattice parameters (Å, degrees): 5.1117 5.1136 7.4183 90.00 89.99 90.00
With the nearest neighbours (Å) after each atom.
Element x y z (fractional)
Er 0.5013 0.9975 0.7412  2 Zr 3.13, 2 Tl 3.19
Zr 0.0013 0.9973 0.4982  8 Er 3.13
Er 0.5012 0.9971 0.2548  2 Zr 3.13, 2 Tl 3.19
Er 0.0012 0.4971 0.2552  2 Zr 3.13, 2 Tl 3.19
Er 0.0014 0.4975 0.7413  2 Zr 3.13, 2 Tl 3.19
Tl 0.5014 0.4972 0.9981  8 Er 3.19



ErZrTl2 | GGA-PBE | optimized geometry

Symmetry: No. 166
N(E_F): 4.07 states/eV per cell

Lattice parameters (Å, degrees): 3.4748 3.4748 10.1414 80.14 80.14 60.00
With the nearest neighbours (Å) after each atom.
Element x y z (fractional)
Zr 0.0000 0.0000 0.0000  6 Tl 3.15, 6 Zr 3.47
Er 0.5000 0.5000 0.5000  6 Tl 3.23, 6 Er 3.47
Tl 0.7483 0.7483 0.7551  3 Zr 3.15, 3 Er 3.23, 6 Tl 3.47
Tl 0.2517 0.2517 0.2449  3 Zr 3.15, 3 Er 3.23, 6 Tl 3.47



Record order is preserved below.
Formation enthalpy at 0 K: -190; 30; -33; 7; -242; -275; -151; -275; -94; -304; -333; -43; -192; -339; -118; -241; -102; 92; 349; -66 meV per atom